Rb2NaDyCl6 | SCAN | PBEsol geometry

CIF file:
```
data_Rb2NaDyCl6
_chemical_formula_sum 'Rb2 Na1 Dy1 Cl6'
_cell_length_a 7.4701
_cell_length_b 7.4701
_cell_length_c 7.4701
_cell_angle_alpha 60.00
_cell_angle_beta 60.00
_cell_angle_gamma 60.00
_symmetry_space_group_name_H-M 'P 1'
_symmetry_Int_Tables_number 1
loop_
_symmetry_equiv_pos_as_xyz
'x,y,z'
loop_
_atom_site_label
_atom_site_type_symbol
_atom_site_fract_x
_atom_site_fract_y
_atom_site_fract_z
_atom_site_occupancy
Cl1 Cl 0.7545 0.2455 0.2455 1
Cl2 Cl 0.2455 0.2455 0.7545 1
Cl3 Cl 0.7545 0.2455 0.7545 1
Cl4 Cl 0.7545 0.7545 0.2455 1
Cl5 Cl 0.2455 0.7545 0.7545 1
Cl6 Cl 0.2455 0.7545 0.2455 1
Na1 Na 0.5000 0.5000 0.5000 1
Dy1 Dy 0.0000 0.0000 0.0000 1
Rb1 Rb 0.7500 0.7500 0.7500 1
Rb2 Rb 0.2500 0.2500 0.2500 1
```

=====

DyTiClO3 | SCAN | PBEsol geometry

CIF file:
```
data_DyTiClO3
_chemical_formula_sum 'Dy2 Ti2 Cl2 O6'
_cell_length_a 3.8747
_cell_length_b 5.2414
_cell_length_c 9.7231
_cell_angle_alpha 74.11
_cell_angle_beta 78.51
_cell_angle_gamma 68.31
_symmetry_space_group_name_H-M 'P 1'
_symmetry_Int_Tables_number 1
loop_
_symmetry_equiv_pos_as_xyz
'x,y,z'
loop_
_atom_site_label
_atom_site_type_symbol
_atom_site_fract_x
_atom_site_fract_y
_atom_site_fract_z
_atom_site_occupancy
Ti1 Ti 0.6191 0.1914 0.5703 1
Ti2 Ti 0.3809 0.8086 0.4297 1
O1 O 0.1686 0.0967 0.5660 1
O2 O 0.4219 0.5307 0.6256 1
O3 O 0.5781 0.4693 0.3744 1
O4 O 0.6486 0.9511 0.7517 1
O5 O 0.8314 0.9033 0.4340 1
O6 O 0.3514 0.0489 0.2483 1
Cl1 Cl 0.8869 0.3224 0.9039 1
Cl2 Cl 0.1131 0.6776 0.0961 1
Dy1 Dy 0.2219 0.7592 0.7970 1
Dy2 Dy 0.7781 0.2408 0.2030 1
```

=====

RbDy2Cl7 | SCAN | PBEsol geometry

CIF file:
```
data_RbDy2Cl7
_chemical_formula_sum 'Rb4 Dy8 Cl28'
_cell_length_a 6.8558
_cell_length_b 12.4618
_cell_length_c 13.0737
_cell_angle_alpha 90.00
_cell_angle_beta 90.00
_cell_angle_gamma 90.00
_symmetry_space_group_name_H-M 'P 1'
_symmetry_Int_Tables_number 1
loop_
_symmetry_equiv_pos_as_xyz
'x,y,z'
loop_
_atom_site_label
_atom_site_type_symbol
_atom_site_fract_x
_atom_site_fract_y
_atom_site_fract_z
_atom_site_occupancy
Dy1 Dy 0.2500 0.8429 0.2470 1
Dy2 Dy 0.2500 0.5397 0.2379 1
Dy3 Dy 0.2500 0.6571 0.7470 1
Dy4 Dy 0.2500 0.9603 0.7379 1
Dy5 Dy 0.7500 0.1571 0.7530 1
Dy6 Dy 0.7500 0.0397 0.2621 1
Dy7 Dy 0.7500 0.3429 0.2530 1
Dy8 Dy 0.7500 0.4603 0.7621 1
Cl1 Cl 0.5101 0.5783 0.8782 1
Cl2 Cl 0.5101 0.9217 0.3782 1
Cl3 Cl 0.9943 0.1928 0.3256 1
Cl4 Cl 0.9899 0.5783 0.8782 1
Cl5 Cl 0.0097 0.9607 0.1294 1
Cl6 Cl 0.5097 0.4607 0.3706 1
Cl7 Cl 0.0101 0.4217 0.1218 1
Cl8 Cl 0.4943 0.8072 0.6744 1
Cl9 Cl 0.0101 0.0783 0.6218 1
Cl10 Cl 0.0057 0.8072 0.6744 1
Cl11 Cl 0.2500 0.6888 0.3920 1
Cl12 Cl 0.4903 0.9607 0.1294 1
Cl13 Cl 0.9899 0.9217 0.3782 1
Cl14 Cl 0.5057 0.3072 0.8256 1
Cl15 Cl 0.0097 0.5393 0.6294 1
Cl16 Cl 0.4899 0.4217 0.1218 1
Cl17 Cl 0.2500 0.8112 0.8920 1
Cl18 Cl 0.4943 0.6928 0.1744 1
Cl19 Cl 0.5097 0.0393 0.8706 1
Cl20 Cl 0.4903 0.5393 0.6294 1
Cl21 Cl 0.9943 0.3072 0.8256 1
Cl22 Cl 0.0057 0.6928 0.1744 1
Cl23 Cl 0.7500 0.1888 0.1080 1
Cl24 Cl 0.9903 0.4607 0.3706 1
Cl25 Cl 0.7500 0.3112 0.6080 1
Cl26 Cl 0.9903 0.0393 0.8706 1
Cl27 Cl 0.5057 0.1928 0.3256 1
Cl28 Cl 0.4899 0.0783 0.6218 1
Rb1 Rb 0.7500 0.8040 0.9596 1
Rb2 Rb 0.2500 0.1960 0.0404 1
Rb3 Rb 0.7500 0.6960 0.4596 1
Rb4 Rb 0.2500 0.3040 0.5404 1
```

=====

KEr2Cl7 | SCAN | PBEsol geometry

CIF file:
```
data_KEr2Cl7
_chemical_formula_sum 'K4 Er8 Cl28'
_cell_length_a 6.7757
_cell_length_b 12.2843
_cell_length_c 12.8878
_cell_angle_alpha 90.00
_cell_angle_beta 89.06
_cell_angle_gamma 90.00
_symmetry_space_group_name_H-M 'P 1'
_symmetry_Int_Tables_number 1
loop_
_symmetry_equiv_pos_as_xyz
'x,y,z'
loop_
_atom_site_label
_atom_site_type_symbol
_atom_site_fract_x
_atom_site_fract_y
_atom_site_fract_z
_atom_site_occupancy
K1 K 0.2014 0.2087 0.0312 1
K2 K 0.7986 0.7913 0.9688 1
K3 K 0.7986 0.7087 0.4688 1
K4 K 0.2014 0.2913 0.5312 1
Cl1 Cl 0.4816 0.6747 0.1646 1
Cl2 Cl 0.9705 0.0700 0.6205 1
Cl3 Cl 0.7431 0.3151 0.6068 1
Cl4 Cl 0.4514 0.4059 0.1242 1
Cl5 Cl 0.5443 0.9403 0.1257 1
Cl6 Cl 0.2569 0.8151 0.8932 1
Cl7 Cl 0.9384 0.4703 0.3713 1
Cl8 Cl 0.5184 0.1747 0.3354 1
Cl9 Cl 0.5443 0.5597 0.6257 1
Cl10 Cl 0.4514 0.0941 0.6242 1
Cl11 Cl 0.9384 0.0297 0.8713 1
Cl12 Cl 0.4816 0.8253 0.6646 1
Cl13 Cl 0.9705 0.4300 0.1205 1
Cl14 Cl 0.5184 0.3253 0.8354 1
Cl15 Cl 0.9948 0.7029 0.1839 1
Cl16 Cl 0.0052 0.2971 0.8161 1
Cl17 Cl 0.0052 0.2029 0.3161 1
Cl18 Cl 0.4557 0.4403 0.3743 1
Cl19 Cl 0.0295 0.9300 0.3795 1
Cl20 Cl 0.5486 0.9059 0.3758 1
Cl21 Cl 0.9948 0.7971 0.6839 1
Cl22 Cl 0.0295 0.5700 0.8795 1
Cl23 Cl 0.5486 0.5941 0.8758 1
Cl24 Cl 0.0616 0.9703 0.1287 1
Cl25 Cl 0.7431 0.1849 0.1068 1
Cl26 Cl 0.2569 0.6849 0.3932 1
Cl27 Cl 0.4557 0.0597 0.8743 1
Cl28 Cl 0.0616 0.5297 0.6287 1
Er1 Er 0.7215 0.3383 0.2544 1
Er2 Er 0.2785 0.6617 0.7456 1
Er3 Er 0.7215 0.1617 0.7544 1
Er4 Er 0.7785 0.4645 0.7602 1
Er5 Er 0.2215 0.9645 0.7398 1
Er6 Er 0.7785 0.0355 0.2602 1
Er7 Er 0.2215 0.5355 0.2398 1
Er8 Er 0.2785 0.8383 0.2456 1
```

=====

K2NaErCl6 | SCAN | PBEsol geometry

CIF file:
```
data_K2NaErCl6
_chemical_formula_sum 'K2 Na1 Er1 Cl6'
_cell_length_a 7.4013
_cell_length_b 7.4013
_cell_length_c 7.4013
_cell_angle_alpha 60.00
_cell_angle_beta 60.00
_cell_angle_gamma 60.00
_symmetry_space_group_name_H-M 'P 1'
_symmetry_Int_Tables_number 1
loop_
_symmetry_equiv_pos_as_xyz
'x,y,z'
loop_
_atom_site_label
_atom_site_type_symbol
_atom_site_fract_x
_atom_site_fract_y
_atom_site_fract_z
_atom_site_occupancy
Cl1 Cl 0.7548 0.2452 0.7548 1
Cl2 Cl 0.2452 0.7548 0.2452 1
Cl3 Cl 0.2452 0.7548 0.7548 1
Cl4 Cl 0.2452 0.2452 0.7548 1
Cl5 Cl 0.7548 0.2452 0.2452 1
Cl6 Cl 0.7548 0.7548 0.2452 1
Na1 Na 0.5000 0.5000 0.5000 1
K1 K 0.2500 0.2500 0.2500 1
K2 K 0.7500 0.7500 0.7500 1
Er1 Er 0.0000 0.0000 0.0000 1
```

=====

K2RbErCl6 | SCAN | PBEsol geometry

CIF file:
```
data_K2RbErCl6
_chemical_formula_sum 'K2 Rb1 Er1 Cl6'
_cell_length_a 7.9165
_cell_length_b 7.9165
_cell_length_c 7.9165
_cell_angle_alpha 60.00
_cell_angle_beta 60.00
_cell_angle_gamma 60.00
_symmetry_space_group_name_H-M 'P 1'
_symmetry_Int_Tables_number 1
loop_
_symmetry_equiv_pos_as_xyz
'x,y,z'
loop_
_atom_site_label
_atom_site_type_symbol
_atom_site_fract_x
_atom_site_fract_y
_atom_site_fract_z
_atom_site_occupancy
Er1 Er 0.0000 0.0000 0.0000 1
K1 K 0.2500 0.2500 0.2500 1
K2 K 0.7500 0.7500 0.7500 1
Cl1 Cl 0.7702 0.7702 0.2298 1
Cl2 Cl 0.2298 0.7702 0.7702 1
Cl3 Cl 0.7702 0.2298 0.7702 1
Cl4 Cl 0.7702 0.2298 0.2298 1
Cl5 Cl 0.2298 0.2298 0.7702 1
Cl6 Cl 0.2298 0.7702 0.2298 1
Rb1 Rb 0.5000 0.5000 0.5000 1
```

=====

KRb2ErCl6 | SCAN | PBEsol geometry

CIF file:
```
data_KRb2ErCl6
_chemical_formula_sum 'K1 Rb2 Er1 Cl6'
_cell_length_a 7.7642
_cell_length_b 7.7642
_cell_length_c 7.7642
_cell_angle_alpha 60.00
_cell_angle_beta 60.00
_cell_angle_gamma 60.00
_symmetry_space_group_name_H-M 'P 1'
_symmetry_Int_Tables_number 1
loop_
_symmetry_equiv_pos_as_xyz
'x,y,z'
loop_
_atom_site_label
_atom_site_type_symbol
_atom_site_fract_x
_atom_site_fract_y
_atom_site_fract_z
_atom_site_occupancy
K1 K 0.0000 0.0000 0.0000 1
Cl1 Cl 0.7343 0.2657 0.2657 1
Cl2 Cl 0.2657 0.7343 0.7343 1
Cl3 Cl 0.2657 0.2657 0.7343 1
Cl4 Cl 0.7343 0.7343 0.2657 1
Cl5 Cl 0.2657 0.7343 0.2657 1
Cl6 Cl 0.7343 0.2657 0.7343 1
Rb1 Rb 0.2500 0.2500 0.2500 1
Rb2 Rb 0.7500 0.7500 0.7500 1
Er1 Er 0.5000 0.5000 0.5000 1
```

=====

Li3ErCl6 | SCAN | PBEsol geometry

CIF file:
```
data_Li3ErCl6
_chemical_formula_sum 'Li9 Er3 Cl18'
_cell_length_a 5.9953
_cell_length_b 10.9279
_cell_length_c 10.9279
_cell_angle_alpha 120.00
_cell_angle_beta 90.00
_cell_angle_gamma 90.00
_symmetry_space_group_name_H-M 'P 1'
_symmetry_Int_Tables_number 1
loop_
_symmetry_equiv_pos_as_xyz
'x,y,z'
loop_
_atom_site_label
_atom_site_type_symbol
_atom_site_fract_x
_atom_site_fract_y
_atom_site_fract_z
_atom_site_occupancy
Cl1 Cl 0.7673 0.1153 0.8849 1
Cl2 Cl 0.2327 0.8847 0.7696 1
Cl3 Cl 0.7404 0.7746 0.2143 1
Cl4 Cl 0.7404 0.4397 0.2254 1
Cl5 Cl 0.2596 0.5603 0.7857 1
Cl6 Cl 0.7505 0.4387 0.5459 1
Cl7 Cl 0.7673 0.7696 0.8847 1
Cl8 Cl 0.2495 0.5613 0.1071 1
Cl9 Cl 0.2327 0.2304 0.1151 1
Cl10 Cl 0.2495 0.5459 0.4387 1
Cl11 Cl 0.2327 0.8849 0.1153 1
Cl12 Cl 0.7505 0.4541 0.8929 1
Cl13 Cl 0.7673 0.1151 0.2304 1
Cl14 Cl 0.7404 0.7857 0.5603 1
Cl15 Cl 0.2495 0.8929 0.4541 1
Cl16 Cl 0.2596 0.2143 0.7746 1
Cl17 Cl 0.7505 0.1071 0.5613 1
Cl18 Cl 0.2596 0.2254 0.4397 1
Er1 Er 0.5030 0.3333 0.6667 1
Er2 Er 0.0000 0.0000 0.0000 1
Er3 Er 0.4970 0.6667 0.3333 1
Li1 Li 0.0000 0.0000 0.3421 1
Li2 Li 0.0000 0.6579 0.6579 1
Li3 Li 0.5000 0.6785 0.0000 1
Li4 Li 0.0000 0.3421 0.0000 1
Li5 Li 0.0000 0.6640 0.0000 1
Li6 Li 0.5000 0.0000 0.6785 1
Li7 Li 0.5000 0.3215 0.3215 1
Li8 Li 0.0000 0.3360 0.3360 1
Li9 Li 0.0000 0.0000 0.6640 1
```

=====

ErMoClO4 | SCAN | PBEsol geometry

CIF file:
```
data_ErMoClO4
_chemical_formula_sum 'Er2 Mo2 Cl2 O8'
_cell_length_a 6.1862
_cell_length_b 6.1862
_cell_length_c 6.7383
_cell_angle_alpha 75.74
_cell_angle_beta 75.74
_cell_angle_gamma 70.66
_symmetry_space_group_name_H-M 'P 1'
_symmetry_Int_Tables_number 1
loop_
_symmetry_equiv_pos_as_xyz
'x,y,z'
loop_
_atom_site_label
_atom_site_type_symbol
_atom_site_fract_x
_atom_site_fract_y
_atom_site_fract_z
_atom_site_occupancy
O1 O 0.4564 0.4564 0.8021 1
O2 O 0.1066 0.4897 0.1539 1
O3 O 0.5436 0.5436 0.1979 1
O4 O 0.7053 0.7053 0.4626 1
O5 O 0.4897 0.1066 0.1539 1
O6 O 0.8934 0.5103 0.8461 1
O7 O 0.5103 0.8934 0.8461 1
O8 O 0.2947 0.2947 0.5374 1
Cl1 Cl 0.9921 0.9921 0.7641 1
Cl2 Cl 0.0079 0.0079 0.2359 1
Mo1 Mo 0.6380 0.6380 0.7320 1
Mo2 Mo 0.3620 0.3620 0.2680 1
Er1 Er 0.2220 0.2220 0.8917 1
Er2 Er 0.7780 0.7780 0.1083 1
```

=====

Number 1: uncorrected formation energy -2.344 eV/atom. Number 2: uncorrected formation energy -3.402 eV/atom. Number 3: uncorrected formation energy -2.509 eV/atom. Number 4: uncorrected formation energy -2.483 eV/atom. Number 5: uncorrected formation energy -2.302 eV/atom. Number 6: uncorrected formation energy -2.258 eV/atom. Number 7: uncorrected formation energy -2.342 eV/atom. Number 8: uncorrected formation energy -2.212 eV/atom. Number 9: uncorrected formation energy -2.736 eV/atom.